Entry 1:
The following is a PBE calculation of a geometry-optimized NpPN4 structure, from the Alexandria database.

Unit cell a=5.2844 b=5.2844 c=4.5235 alpha=90.00 beta=90.00 gamma=90.00
With the nearest neighbours (Å) after each atom.
Space group P4/nbm (No. 125, origin choice 2)
One atom of each set of equivalent atoms:
Np: 0.2500 0.2500 0.0000  8 N 2.29
P: 0.2500 0.7500 0.5000  4 N 1.66
N: 0.0815 0.5815 0.2609  1 P 1.66

- DFT total energy: -8.843 eV/atom
- V: 63.2 Å³/f.u.
- Total moment: 0.1 μB per formula unit

---

Entry 2:
The following is a PBE calculation of a geometry-optimized PPb2Cl structure, from the Alexandria database.

Unit cell a=15.0743 b=3.8325 c=4.2365 alpha=90.00 beta=102.32 gamma=90.00
With the nearest neighbours (Å) after each atom.
Space group Cm (No. 8)
One atom of each set of equivalent atoms:
P: 0.0000 0.0000 0.0000  4 Pb 2.84-2.85
Pb: 0.0750 0.5000 0.4829  2 P 2.85, 1 Cl 3.10
Pb: 0.3575 0.0000 0.8882  2 P 2.84, 2 Cl 3.14
Cl: 0.2642 0.5000 0.3059  5 Pb 3.10-3.20

- DFT total energy: -3.953 eV/atom
- V: 119.6 Å³/f.u.
- Total moment: 0.0 μB per formula unit
- Energy above the lowest structure with this stoichiometry: 150 meV/atom

---

Number 1: ΔE_f (raw) -1.41 eV per formula unit. Number 2: ΔE_f (raw) -1.14 eV per formula unit.